[1]
# CaY2PbO6

A relaxed structure of CaY2PbO6 (GGA-PBE, Alexandria via LeMat-Bulk).

Values from the calculation:
Symmetry: No. 146
Crystal system: trigonal
ΔE_f (raw) in meV/atom: -2625
Spin magnetization in μB per cell: 0.000

```
CaY2PbO6
1.0
5.818 0.000 0.000
2.909 5.038 0.000
2.909 1.680 5.118
Y O Pb Ca
2 6 1 1
Cartesian
5.818 3.359 2.200
2.909 1.680 4.764
4.155 3.299 3.864
6.701 1.949 3.864
4.888 1.503 1.263
7.890 3.482 1.264
6.596 4.829 3.864
4.675 5.092 1.263
2.909 1.679 0.314
8.726 5.038 3.006
```


[2]
# BaTaSeBr2

A relaxed structure of BaTaSeBr2 (GGA-PBE, Alexandria via LeMat-Bulk).

Values from the calculation:
Offset from the most stable computed form in kJ/mol of formula units: 0.0
Symmetry: No. 123
Crystal system: tetragonal
ΔE_f (raw) in meV/atom: -777
Spin magnetization in μB per cell: 1.440

```
BaTaSeBr2
1.0
-5.079 -1.550 0.732
1.506 -5.129 -0.409
0.773 -0.172 5.001
Br Ba Se Ta
2 1 1 1
Cartesian
0.753 -2.564 -0.204
-2.540 -0.775 0.366
-1.401 -3.425 2.662
0.386 -0.086 2.500
0.000 0.000 0.000
```


Sequential DOS at the Fermi energy output: 0.00; 0.60 states/eV/atom
Sequential calculated total energy output: -74.6; -24.5 eV for the cell shown